[1]
# GaO | the Alexandria database | PBE | relaxed
data_GaO
_chemical_formula_sum 'Ga4 O4'
_symmetry_space_group_name_H-M 'P 1'
_symmetry_Int_Tables_number 1
_symmetry_space_group_name_Hall 'P 1'
_cell_length_a 5.715
_cell_length_b 5.715
_cell_length_c 5.715
_cell_angle_alpha 109.47
_cell_angle_beta 109.47
_cell_angle_gamma 109.47
loop_
_atom_site_label
_atom_site_type_symbol
_atom_site_fract_x
_atom_site_fract_y
_atom_site_fract_z
_atom_site_occupancy
Ga1 Ga 0.000 0.000 0.329 1
Ga2 Ga 0.000 0.329 0.000 1
Ga3 Ga 0.329 0.000 0.000 1
Ga4 Ga 0.671 0.671 0.671 1
O1 O 0.000 0.000 0.679 1
O2 O 0.000 0.679 0.000 1
O3 O 0.321 0.321 0.321 1
O4 O 0.679 0.000 0.000 1
# SG   I-43m (217)
# Energy relative to the lowest polymorph listed for this composition   63.2 kJ/mol of atoms

=====

[2]
# GaO4 | the Alexandria database | PBE | relaxed
data_GaO4
_chemical_formula_sum 'Ga1 O4'
_symmetry_space_group_name_H-M 'P 1'
_symmetry_Int_Tables_number 1
_symmetry_space_group_name_Hall 'P 1'
_cell_length_a 3.896
_cell_length_b 3.896
_cell_length_c 3.896
_cell_angle_alpha 90.00
_cell_angle_beta 90.00
_cell_angle_gamma 90.00
loop_
_atom_site_label
_atom_site_type_symbol
_atom_site_fract_x
_atom_site_fract_y
_atom_site_fract_z
_atom_site_occupancy
Ga1 Ga 0.000 0.000 0.000 1
O1 O 0.000 0.000 0.500 1
O2 O 0.000 0.500 0.000 1
O3 O 0.500 0.000 0.000 1
O4 O 0.500 0.500 0.500 1
# SG   Pm-3m (221)

=====

[3]
# GaO | the Alexandria database | PBE | relaxed
data_GaO
_chemical_formula_sum 'Ga4 O4'
_symmetry_space_group_name_H-M 'P 1'
_symmetry_Int_Tables_number 1
_symmetry_space_group_name_Hall 'P 1'
_cell_length_a 6.049
_cell_length_b 6.049
_cell_length_c 6.049
_cell_angle_alpha 94.08
_cell_angle_beta 94.08
_cell_angle_gamma 149.06
loop_
_atom_site_label
_atom_site_type_symbol
_atom_site_fract_x
_atom_site_fract_y
_atom_site_fract_z
_atom_site_occupancy
Ga1 Ga 0.015 0.756 0.771 1
Ga2 Ga 0.244 0.015 0.259 1
Ga3 Ga 0.756 0.985 0.741 1
Ga4 Ga 0.985 0.244 0.229 1
O1 O 0.177 0.386 0.562 1
O2 O 0.386 0.823 0.209 1
O3 O 0.614 0.177 0.791 1
O4 O 0.823 0.614 0.438 1
# SG   I4/m (87)
# Energy relative to the lowest polymorph listed for this composition   31.4 kJ/mol of atoms

=====

[4]
# GaOs2O | the Alexandria database | PBE | relaxed
data_GaOs2O
_chemical_formula_sum 'Ga2 Os4 O2'
_symmetry_space_group_name_H-M 'P 1'
_symmetry_Int_Tables_number 1
_symmetry_space_group_name_Hall 'P 1'
_cell_length_a 5.243
_cell_length_b 5.243
_cell_length_c 5.243
_cell_angle_alpha 104.55
_cell_angle_beta 104.55
_cell_angle_gamma 119.83
loop_
_atom_site_label
_atom_site_type_symbol
_atom_site_fract_x
_atom_site_fract_y
_atom_site_fract_z
_atom_site_occupancy
Ga1 Ga 0.000 0.000 0.000 1
Ga2 Ga 0.750 0.250 0.500 1
Os1 Os 0.218 0.625 0.093 1
Os2 Os 0.375 0.468 0.593 1
Os3 Os 0.532 0.125 0.907 1
Os4 Os 0.875 0.782 0.407 1
O1 O 0.250 0.750 0.500 1
O2 O 0.500 0.500 0.000 1
# SG   I-42d (122)
# Energy relative to the lowest polymorph listed for this composition   0.0 kJ/mol of atoms

=====

[5]
# GaOsO4 | the Alexandria database | PBE | relaxed
data_GaOsO4
_chemical_formula_sum 'Ga2 Os2 O8'
_symmetry_space_group_name_H-M 'P 1'
_symmetry_Int_Tables_number 1
_symmetry_space_group_name_Hall 'P 1'
_cell_length_a 5.524
_cell_length_b 4.578
_cell_length_c 5.515
_cell_angle_alpha 90.00
_cell_angle_beta 111.89
_cell_angle_gamma 90.00
loop_
_atom_site_label
_atom_site_type_symbol
_atom_site_fract_x
_atom_site_fract_y
_atom_site_fract_z
_atom_site_occupancy
Ga1 Ga 0.000 0.000 0.000 1
Ga2 Ga 0.000 0.500 0.500 1
Os1 Os 0.500 0.000 0.500 1
Os2 Os 0.500 0.500 0.000 1
O1 O 0.157 0.187 0.351 1
O2 O 0.157 0.313 0.851 1
O3 O 0.354 0.702 0.656 1
O4 O 0.354 0.798 0.156 1
O5 O 0.646 0.202 0.844 1
O6 O 0.646 0.298 0.344 1
O7 O 0.843 0.687 0.149 1
O8 O 0.843 0.813 0.649 1
# SG   P2_1/c (14)

=====

[6]
# Ga2OsO6 | the Alexandria database | PBE | relaxed
data_Ga2OsO6
_chemical_formula_sum 'Ga4 Os2 O12'
_symmetry_space_group_name_H-M 'P 1'
_symmetry_Int_Tables_number 1
_symmetry_space_group_name_Hall 'P 1'
_cell_length_a 4.543
_cell_length_b 4.543
_cell_length_c 9.279
_cell_angle_alpha 90.00
_cell_angle_beta 90.00
_cell_angle_gamma 90.00
loop_
_atom_site_label
_atom_site_type_symbol
_atom_site_fract_x
_atom_site_fract_y
_atom_site_fract_z
_atom_site_occupancy
Ga1 Ga 0.000 0.000 0.168 1
Ga2 Ga 0.000 0.000 0.832 1
Ga3 Ga 0.500 0.500 0.332 1
Ga4 Ga 0.500 0.500 0.668 1
Os1 Os 0.000 0.000 0.500 1
Os2 Os 0.500 0.500 0.000 1
O1 O 0.194 0.194 0.337 1
O2 O 0.194 0.194 0.663 1
O3 O 0.207 0.207 0.000 1
O4 O 0.293 0.707 0.500 1
O5 O 0.306 0.694 0.163 1
O6 O 0.306 0.694 0.837 1
O7 O 0.694 0.306 0.163 1
O8 O 0.694 0.306 0.837 1
O9 O 0.707 0.293 0.500 1
O10 O 0.793 0.793 0.000 1
O11 O 0.806 0.806 0.337 1
O12 O 0.806 0.806 0.663 1
# SG   P4_2/mnm (136)

=====

no.,calculated total energy (eV/atom),formation energy from raw total energies (eV/atom),size of the total moment (μB/f.u.)
1,-4.914,-0.92,0.00
2,-4.256,0.32,5.00
3,-5.242,-1.25,0.00
4,-7.173,0.44,0.00
5,-6.964,-1.28,0.68
6,-6.622,-1.40,0.00